First-principles (PBE-GGA) data for an optimized crystal structure of Sr2Li5Mg2Cd, as listed in the Alexandria database.

Geometry as CIF:
```
data_Sr2Li5Mg2Cd
_symmetry_space_group_name_H-M 'P 1'
_symmetry_Int_Tables_number 1
_cell_length_a 3.835
_cell_length_b 11.962
_cell_length_c 11.962
_cell_angle_alpha 90.00
_cell_angle_beta 90.00
_cell_angle_gamma 90.00
loop_
_symmetry_equiv_pos_as_xyz
'x,y,z'
loop_
_atom_site_label
_atom_site_type_symbol
_atom_site_fract_x
_atom_site_fract_y
_atom_site_fract_z
Sr1 Sr 0.000 0.676 0.176
Sr2 Sr 0.000 0.324 0.824
Sr3 Sr 0.000 0.176 0.324
Sr4 Sr 0.000 0.824 0.676
Li1 Li 0.500 0.181 0.053
Li2 Li 0.500 0.819 0.947
Li3 Li 0.500 0.053 0.819
Li4 Li 0.500 0.681 0.447
Li5 Li 0.500 0.947 0.181
Li6 Li 0.500 0.319 0.553
Li7 Li 0.500 0.553 0.681
Li8 Li 0.500 0.447 0.319
Li9 Li 0.500 0.500 0.000
Li10 Li 0.500 0.000 0.500
Mg1 Mg 0.000 0.122 0.622
Mg2 Mg 0.000 0.878 0.378
Mg3 Mg 0.000 0.622 0.878
Mg4 Mg 0.000 0.378 0.122
Cd1 Cd 0.000 0.000 0.000
Cd2 Cd 0.000 0.500 0.500
```

Calculated values
For the formation energy, the calculation gives 0.001 eV per atom. The space-group type is P4/mbm.

---

First-principles (PBE-GGA) data for an optimized crystal structure of Rb13O2, as listed in the Alexandria database.

Geometry as CIF:
```
data_Rb13O2
_symmetry_space_group_name_H-M 'P 1'
_symmetry_Int_Tables_number 1
_cell_length_a 8.605
_cell_length_b 11.141
_cell_length_c 12.071
_cell_angle_alpha 117.09
_cell_angle_beta 97.72
_cell_angle_gamma 95.35
loop_
_symmetry_equiv_pos_as_xyz
'x,y,z'
loop_
_atom_site_label
_atom_site_type_symbol
_atom_site_fract_x
_atom_site_fract_y
_atom_site_fract_z
Rb1 Rb 0.770 0.587 0.095
Rb2 Rb 0.230 0.413 0.905
Rb3 Rb 0.000 0.000 0.000
Rb4 Rb 0.071 0.906 0.643
Rb5 Rb 0.929 0.094 0.357
Rb6 Rb 0.901 0.607 0.702
Rb7 Rb 0.099 0.393 0.298
Rb8 Rb 0.615 0.724 0.489
Rb9 Rb 0.385 0.276 0.511
Rb10 Rb 0.547 0.789 0.830
Rb11 Rb 0.453 0.211 0.170
Rb12 Rb 0.710 0.100 0.771
Rb13 Rb 0.290 0.900 0.229
O1 O 0.803 0.851 0.732
O2 O 0.197 0.149 0.268
```

Calculated values
The formation energy from raw total energies is -551 kJ/mol of formula units. Its energy above the lowest structure with this stoichiometry is 0 meV/atom. The space-group type is P-1.

---

First-principles (PBE-GGA) data for an optimized crystal structure of CdTc2Ag, as listed in the Alexandria database.

Geometry as CIF:
```
data_CdTc2Ag
_symmetry_space_group_name_H-M 'P 1'
_symmetry_Int_Tables_number 1
_cell_length_a 5.374
_cell_length_b 5.374
_cell_length_c 5.374
_cell_angle_alpha 145.84
_cell_angle_beta 126.92
_cell_angle_gamma 64.65
loop_
_symmetry_equiv_pos_as_xyz
'x,y,z'
loop_
_atom_site_label
_atom_site_type_symbol
_atom_site_fract_x
_atom_site_fract_y
_atom_site_fract_z
Ag1 Ag 0.508 0.508 0.000
Cd1 Cd 0.244 0.744 0.500
Tc1 Tc 0.974 0.974 0.000
Tc2 Tc 0.775 0.275 0.500
```

Calculated values
For the formation energy, the calculation gives 0.481 eV per atom. The space-group type is Imm2.

---

First-principles (PBE-GGA) data for an optimized crystal structure of UBe2F8, as listed in the Alexandria database.

Geometry as CIF:
```
data_UBe2F8
_symmetry_space_group_name_H-M 'P 1'
_symmetry_Int_Tables_number 1
_cell_length_a 5.629
_cell_length_b 5.456
_cell_length_c 5.456
_cell_angle_alpha 54.32
_cell_angle_beta 106.73
_cell_angle_gamma 106.73
loop_
_symmetry_equiv_pos_as_xyz
'x,y,z'
loop_
_atom_site_label
_atom_site_type_symbol
_atom_site_fract_x
_atom_site_fract_y
_atom_site_fract_z
U1 U 0.000 0.000 0.000
Be1 Be 0.690 0.207 0.207
Be2 Be 0.310 0.793 0.793
F1 F 0.213 0.105 0.640
F2 F 0.213 0.640 0.105
F3 F 0.787 0.895 0.360
F4 F 0.194 0.628 0.628
F5 F 0.787 0.360 0.895
F6 F 0.392 0.158 0.158
F7 F 0.608 0.842 0.842
F8 F 0.806 0.372 0.372
```

Calculated values
The formation energy from raw total energies is -3479 kJ/mol of formula units. Its energy above the lowest structure with this stoichiometry is 81 meV/atom. The space-group type is C2/m.

---

First-principles (PBE-GGA) data for an optimized crystal structure of PmSi2IrO8, as listed in the Alexandria database.

Geometry as CIF:
```
data_PmSi2IrO8
_symmetry_space_group_name_H-M 'P 1'
_symmetry_Int_Tables_number 1
_cell_length_a 5.239
_cell_length_b 5.239
_cell_length_c 6.685
_cell_angle_alpha 90.00
_cell_angle_beta 90.00
_cell_angle_gamma 120.00
loop_
_symmetry_equiv_pos_as_xyz
'x,y,z'
loop_
_atom_site_label
_atom_site_type_symbol
_atom_site_fract_x
_atom_site_fract_y
_atom_site_fract_z
Pm1 Pm 0.000 0.000 0.500
Si1 Si 0.667 0.333 0.270
Si2 Si 0.333 0.667 0.730
Ir1 Ir 0.000 0.000 0.000
O1 O 0.838 0.162 0.193
O2 O 0.838 0.676 0.193
O3 O 0.324 0.162 0.193
O4 O 0.676 0.838 0.807
O5 O 0.333 0.667 0.491
O6 O 0.667 0.333 0.509
O7 O 0.162 0.838 0.807
O8 O 0.162 0.324 0.807
```

Calculated values
The formation energy from raw total energies is -2433 kJ/mol of formula units. The space-group type is P-3m1.

---

| no. | D(E_F) (states/eV per atom) |
| --- | --- |
| 1 | 0.578 |
| 2 | 0.575 |
| 3 | 0.814 |
| 4 | 0.074 |
| 5 | 0.401 |